No. 1
Here is an optimized crystal structure of NaSrY2Te4 from the Alexandria database. Energies are from PBE-GGA.

Results
**Raw formation energy**: -1.37 eV per atom

Unit cell a=6.360 b=6.360 c=12.592 alpha=90.00 beta=90.00 gamma=90.00
Space group I4/mmm (No. 139)
Asymmetric unit:
Na (0.000, 0.000, 0.000) x2
Sr (0.000, 0.000, 0.500) x2
Y (0.000, 0.500, 0.250) x4
Te (0.000, 0.000, 0.244) x4
Te (0.000, 0.500, 0.000) x4

No. 2
Here is an optimized crystal structure of NaSr2YTe4 from the Alexandria database. Energies are from PBE-GGA.

Results
**Raw formation energy**: -1.49 eV per atom

Unit cell a=7.917 b=4.609 c=8.008 alpha=90.00 beta=108.71 gamma=90.00
Space group P2/m (No. 10)
Asymmetric unit:
Na (0.000, 0.000, 0.000) x1
Sr (0.500, 0.000, 0.500) x1
Sr (0.500, 0.500, 0.000) x1
Y (0.000, 0.500, 0.500) x1
Te (0.230, 0.000, 0.737) x2
Te (0.236, 0.500, 0.257) x2

No. 3
Here is an optimized crystal structure of Na2SrTh from the Alexandria database. Energies are from PBE-GGA.

Results
**DFT total energy**: -30.40 eV/cell

Unit cell a=3.5852 b=3.5852 c=41.8201 alpha=90.00 beta=90.00 gamma=120.00
Space group R-3m (No. 166, hexagonal axes)
Asymmetric unit:
Na (0.0000, 0.0000, 0.0853) x6
Sr (0.0000, 0.0000, 0.5000) x3
Th (0.0000, 0.0000, 0.0000) x3

No. 4
Here is an optimized crystal structure of NaSr2Ti from the Alexandria database. Energies are from PBE-GGA.

Results
**E above lowest polymorph**: 0.00 eV/f.u.

Unit cell a=8.501 b=8.501 c=8.501 alpha=90.00 beta=90.00 gamma=90.00
Space group Fm-3m (No. 225)
Asymmetric unit:
Na (0.000, 0.000, 0.000) x4
Sr (0.250, 0.250, 0.250) x8
Ti (0.000, 0.000, 0.500) x4

No. 5
Here is an optimized crystal structure of NaSr2Ti from the Alexandria database. Energies are from PBE-GGA.

Results
**E above lowest polymorph**: 0.79 eV/f.u.

Unit cell a=9.242 b=9.242 c=7.457 alpha=90.00 beta=90.00 gamma=90.00
Space group I-42d (No. 122)
Asymmetric unit:
Na (0.000, 0.000, 0.000) x4
Sr (0.249, 0.250, 0.125) x8
Ti (0.000, 0.000, 0.500) x4

No. 6
Here is an optimized crystal structure of NaSrTl2 from the Alexandria database. Energies are from PBE-GGA.

Results
**DFT total energy**: -31.10 eV/cell

Unit cell a=5.041 b=5.041 c=22.360 alpha=90.00 beta=90.00 gamma=90.00
Space group I-42d (No. 122)
Asymmetric unit:
Na (0.000, 0.000, 0.000) x4
Sr (0.000, 0.000, 0.500) x4
Tl (0.203, 0.250, 0.125) x8

No. 7
Here is an optimized crystal structure of NaSr8Tl2 from the Alexandria database. Energies are from PBE-GGA.

Results
**DFT total energy**: -42.42 eV/cell

Unit cell a=20.977 b=5.758 c=8.673 alpha=90.00 beta=109.36 gamma=90.00
Space group C2/m (No. 12)
Asymmetric unit:
Na (0.000, 0.000, 0.000) x2
Sr (0.034, 0.500, 0.764) x4
Sr (0.101, 0.000, 0.482) x4
Sr (0.177, 0.000, 0.959) x4
Sr (0.196, 0.500, 0.307) x4
Tl (0.186, 0.500, 0.698) x4

No. 8
Here is an optimized crystal structure of NaSr6Tl from the Alexandria database. Energies are from PBE-GGA.

Results
**E above lowest polymorph**: 1.24 eV/f.u.

Unit cell a=8.363 b=8.366 c=8.373 alpha=60.89 beta=60.84 gamma=60.97
Space group P-1 (No. 2)
Asymmetric unit:
Na (0.000, 0.000, 0.000) x1
Sr (0.061, 0.466, 0.734) x2
Sr (0.266, 0.938, 0.535) x2
Sr (0.465, 0.734, 0.062) x2
Tl (0.500, 0.500, 0.500) x1